(1)
First-principles (GGA-PBE) data for LaPr2HoTl4 after structural relaxation, as listed in Alexandria.

Cell: 9.615 9.615 9.615 Å, 33.40 33.40 33.40°
Sites, in units of the cell vectors:
La: 0.000 0.000 0.000
Pr: 0.249 0.249 0.249
Pr: 0.751 0.751 0.751
Ho: 0.500 0.500 0.500
Tl: 0.127 0.127 0.127
Tl: 0.377 0.377 0.377
Tl: 0.623 0.623 0.623
Tl: 0.873 0.873 0.873

**Uncorrected energy**: -3.94 eV/atom

=====

(2)
First-principles (GGA-PBE) data for La4I3Br4 after structural relaxation, as listed in Alexandria.

Cell: 10.629 10.629 10.629 Å, 158.36 127.00 57.90°
Sites, in units of the cell vectors:
La: 0.213 0.000 0.213
La: 0.239 0.239 0.000
La: 0.761 0.761 0.000
La: 0.787 0.000 0.787
I: 0.097 0.597 0.500
I: 0.500 0.500 0.000
I: 0.903 0.403 0.500
Br: 0.141 0.830 0.311
Br: 0.480 0.170 0.311
Br: 0.520 0.830 0.689
Br: 0.859 0.170 0.689

**Uncorrected energy**: -4.28 eV/atom

=====

(3)
First-principles (GGA-PBE) data for Tb4SmAl after structural relaxation, as listed in Alexandria.

Cell: 8.223 8.223 6.257 Å, 100.05 100.05 115.32°
Sites, in units of the cell vectors:
Tb: 0.083 0.717 0.953
Tb: 0.165 0.393 0.626
Tb: 0.283 0.917 0.547
Tb: 0.393 0.165 0.126
Tb: 0.607 0.835 0.874
Tb: 0.717 0.083 0.453
Tb: 0.835 0.607 0.374
Tb: 0.917 0.283 0.047
Sm: 0.405 0.595 0.250
Sm: 0.595 0.405 0.750
Al: 0.001 0.999 0.750
Al: 0.999 0.001 0.250

**Energy above the lowest structure with this stoichiometry**: 7.5 kJ/mol of atoms